The following is a DFT calculation (PBE+U) of Na2MnNiF6 after structural relaxation.

abc: 5.592 5.621 5.624
angles: 61.38 60.72 60.70
Element x y z (fractional)
Na  0.220  0.251  0.251
Na  0.780  0.749  0.749
Mn  0.500  0.500  0.500
Ni  0.000  0.000  0.000
F  0.176  0.820  0.312
F  0.177  0.311  0.821
F  0.365  0.758  0.758
F  0.635  0.242  0.242
F  0.823  0.689  0.179
F  0.824  0.180  0.688

Calculated total energy = -4.96 eV/atom
SG = P-1, No. 2
D(E_F) = 0.000 states/eV per atom